Record 1
## SrSnCl6 (PBE-GGA)

Data for crystalline SrSnCl6 at its relaxed geometry.

Values from the calculation:
Energy: -28.53 eV/cell
E above lowest polymorph: 0 meV/atom
DOS at the Fermi energy: 0.00 states/eV/cell

Cell lengths 7.2572, 7.2572, 7.2572 Å; angles 54.95, 54.95, 54.95 degrees
Sites, in units of the cell vectors:
Sr  0.0000  0.0000  0.0000
Sn  0.5000  0.5000  0.5000
Cl  0.1086  0.7138  0.4466
Cl  0.2862  0.5534  0.8914
Cl  0.4466  0.1086  0.7138
Cl  0.5534  0.8914  0.2862
Cl  0.7138  0.4466  0.1086
Cl  0.8914  0.2862  0.5534

---

Record 2
## ScH (PBE-GGA)

Data for crystalline ScH at its relaxed geometry.

Values from the calculation:
Energy: -83.37 eV/cell
DOS at the Fermi energy: 8.62 states/eV/cell

Cell lengths 8.2575, 8.2575, 3.2835 Å; angles 90.00, 90.00, 90.00 degrees
Sites, in units of the cell vectors:
Sc  0.0626  0.2945  0.0000
Sc  0.2493  0.5824  0.5000
Sc  0.2945  0.9374  0.0000
Sc  0.4176  0.2493  0.5000
Sc  0.5824  0.7507  0.5000
Sc  0.7055  0.0626  0.0000
Sc  0.7507  0.4176  0.5000
Sc  0.9374  0.7055  0.0000
H  0.1233  0.5376  0.0000
H  0.1948  0.3471  0.5000
H  0.3471  0.8052  0.5000
H  0.4624  0.1233  0.0000
H  0.5376  0.8767  0.0000
H  0.6529  0.1948  0.5000
H  0.8052  0.6529  0.5000
H  0.8767  0.4624  0.0000